BaSb2SeI | PBE-GGA | optimized geometry

Cell lengths 5.5117, 5.5117, 6.0306 Å; angles 90.00, 90.00, 90.00 degrees
Closest atoms and distances in Å follow each position.
Positions (direct):
1 Ba 0.5000 0.5000 0.5000  4 I 3.90, 8 Sb 4.08
2 Sb 0.0000 0.5000 0.0000  2 Se 2.76
3 Sb 0.5000 0.0000 0.0000  2 Se 2.76
4 Se 0.0000 0.0000 0.0000  4 Sb 2.76, 2 I 3.02
5 I 0.0000 0.0000 0.5000  2 Se 3.02

Properties
Fermi-level density of states	6.382	states/eV per cell
calculated density	5.32	g/cm³
E	-3.28	eV per atom